Cs2MgAu2 | SCAN | single point on PBEsol structure

Values from the calculation:
- Total DFT energy (no corrections): -3.2348 Ry per atom
- Symmetry: I4/mmm (139)
- Energy relative to the elements: -110.8 kJ/mol of formula units

Cell: 6.2958 6.2958 6.2958 Å, 101.35 113.68 113.68°
Fractional coordinates of all 5 atoms:
Cs 0.5000 0.7500 0.2500
Cs 0.5000 0.2500 0.7500
Mg 0.0000 0.0000 0.0000
Au 0.0000 0.6692 0.6692
Au 0.0000 0.3308 0.3308